--- A ---
CaOs2S2: relaxed, GGA-PBE.

N(E_F)	0.20	states/eV/atom

```
data_CaOs2S2
_chemical_formula_sum 'Ca2 Os4 S4'
_space_group_name_H-M_alt 'P 4/m b m'
_space_group_IT_number 127
_space_group_name_Hall '-P 4 2ab'
_cell_length_a 7.512
_cell_length_b 7.512
_cell_length_c 4.175
_cell_angle_alpha 90.00
_cell_angle_beta 90.00
_cell_angle_gamma 90.00
loop_
_atom_site_label
_atom_site_fract_x
_atom_site_fract_y
_atom_site_fract_z
Ca1 0.000 0.000 0.000
Os1 0.108 0.392 0.000
S1 0.176 0.324 0.500
```

=====

--- B ---
CaOs2S2: relaxed, GGA-PBE.

N(E_F)	0.43	states/eV/atom

```
data_CaOs2S2
_chemical_formula_sum 'Ca2 Os4 S4'
_space_group_name_H-M_alt 'I 4/m m m'
_space_group_IT_number 139
_space_group_name_Hall '-I 4 2'
_cell_length_a 4.378
_cell_length_b 4.378
_cell_length_c 8.868
_cell_angle_alpha 90.00
_cell_angle_beta 90.00
_cell_angle_gamma 90.00
loop_
_atom_site_label
_atom_site_fract_x
_atom_site_fract_y
_atom_site_fract_z
Ca1 0.000 0.000 0.000
Os1 0.000 0.000 0.355
S1 0.000 0.500 0.250
```

=====

From most stable to least stable, the computed energies give B, A.